1.
MgAg3Pb | Alexandria via LeMat-Bulk | GGA-PBE | relaxed; energy relative to the elements = 0.4340 eV/atom; space group = Pm-3m; total moment = 0.000 μB per atom; Fermi-level density of states = 0.471 states/eV/atom; E above lowest polymorph = 0.000 eV/atom
1.0
5.003 0.000 0.000
0.000 5.003 0.000
0.000 0.000 5.003
Ag Mg Pb
3 1 1
direct
0.000 0.000 0.500
0.500 0.000 0.000
0.000 0.500 0.000
0.000 0.000 0.000
0.500 0.500 0.500

2.
Mg4AgPb3 | Alexandria via LeMat-Bulk | GGA-PBE | relaxed; energy relative to the elements = -0.1010 eV/atom; space group = P4/mmm; total moment = 0.000 μB per atom; Fermi-level density of states = 0.181 states/eV/atom
1.0
3.490 0.000 0.000
0.000 3.490 0.000
0.000 0.000 15.959
Pb Mg Ag
3 4 1
direct
0.500 0.500 0.769
0.500 0.500 0.231
0.500 0.500 0.500
0.000 0.000 0.096
0.000 0.000 0.634
0.000 0.000 0.904
0.000 0.000 0.366
0.500 0.500 0.000

Calculated volume for the records above, in order: 125; 194 Å³/cell